This record from the Alexandria database describes an optimized crystal structure of PrY5Sb4. The functional is PBE-GGA.

Lattice parameters (Å, degrees): 9.6738 9.6738 8.5271 105.89 105.89 26.06
Sites, in units of the cell vectors:
Pr: 0.0000 0.0000 0.0000
Y: 0.0000 0.0000 0.5000
Y: 0.3228 0.3228 0.6497
Y: 0.3391 0.3391 0.1693
Y: 0.6609 0.6609 0.8307
Y: 0.6772 0.6772 0.3503
Sb: 0.1735 0.1735 0.0947
Sb: 0.4909 0.4909 0.7339
Sb: 0.5091 0.5091 0.2661
Sb: 0.8265 0.8265 0.9053

Values from the calculation:
M_tot   0.0 μB per formula unit
SG   C2/m, No. 12
ΔE_f (raw)   -0.766 eV per atom